Record 1
Here is crystalline NaGaSn at its relaxed geometry from Alexandria via LeMat-Bulk. Energies are from PBE.

## Properties
DFT formation energy	-50	kJ/mol of formula units
E	-2.96	eV per atom
total magnetic moment	0.0	μB/f.u.
crystal system	monoclinic

Lattice parameters (Å, degrees): 10.9384 4.8309 7.8281 90.00 132.72 90.00
Closest atoms and distances in Å follow each position.
Space group C2/m (No. 12)
One atom of each set of equivalent atoms:
Na1 0.0656 0.0000 0.3224 [4 per cell]  6 Sn 3.25-3.59, 6 Ga 3.35-3.56
Ga1 0.1485 0.5000 0.0797 [4 per cell]  1 Ga 2.57, 3 Sn 2.83
Sn1 0.1679 0.5000 0.7375 [4 per cell]  3 Ga 2.83, 1 Sn 2.96

---

Record 2
Here is crystalline NaGaSn at its relaxed geometry from Alexandria via LeMat-Bulk. Energies are from PBE.

## Properties
DFT formation energy	-17	kJ/mol of formula units
E	-2.84	eV per atom
total magnetic moment	0.0	μB/f.u.
crystal system	orthorhombic

Lattice parameters (Å, degrees): 4.1287 12.1356 6.3177 90.00 90.00 90.00
Closest atoms and distances in Å follow each position.
Space group Cmcm (No. 63)
One atom of each set of equivalent atoms:
Na1 0.0000 0.1876 0.2500 [4 per cell]  5 Sn 3.31-3.49, 4 Ga 3.46
Ga1 0.0000 0.5000 0.0000 [4 per cell]  4 Sn 2.87, 2 Ga 3.16
Sn1 0.0000 0.0996 0.7500 [4 per cell]  4 Ga 2.87

---

Record 3
Here is crystalline Na2GaSn3 at its relaxed geometry from Alexandria via LeMat-Bulk. Energies are from PBE.

## Properties
DFT formation energy	-9	kJ/mol of formula units
E	-2.96	eV per atom
total magnetic moment	0.0	μB/f.u.
crystal system	orthorhombic

Lattice parameters (Å, degrees): 9.3155 9.5799 16.5875 90.00 90.00 90.00
Closest atoms and distances in Å follow each position.
Space group Fmmm (No. 69)
One atom of each set of equivalent atoms:
Na1 0.0000 0.2474 0.0000 [8 per cell]  10 Sn 3.60-3.76, 2 Ga 3.67
Na2 0.2500 0.2500 0.2500 [8 per cell]  8 Sn 3.56-3.63, 4 Ga 3.62
Ga1 0.0000 0.0000 0.3336 [8 per cell]  3 Sn 2.62
Sn1 0.0000 0.0000 0.1756 [8 per cell]  1 Ga 2.62, 2 Sn 2.83
Sn2 0.2420 0.0000 0.4146 [16 per cell]  1 Ga 2.62, 2 Sn 2.83

---

Record 4
Here is crystalline Na2Ga2Sn3 at its relaxed geometry from Alexandria via LeMat-Bulk. Energies are from PBE.

## Properties
DFT formation energy	-45	kJ/mol of formula units
E	-3.02	eV per atom
total magnetic moment	0.0	μB/f.u.
crystal system	orthorhombic
distance to the lowest polymorph of the same formula	16.1	meV/atom

Lattice parameters (Å, degrees): 4.7985 21.3989 3.3327 90.00 90.00 90.00
Closest atoms and distances in Å follow each position.
Space group Cmmm (No. 65)
One atom of each set of equivalent atoms:
Na1 0.0000 0.1565 0.0000 [4 per cell]  6 Ga 3.14-3.21, 2 Na 3.33, 5 Sn 3.35-3.37
Ga1 0.0000 0.2809 0.5000 [4 per cell]  2 Ga 2.74, 1 Sn 3.01
Sn1 0.0000 0.0000 0.0000 [2 per cell]  10 Sn 3.33-3.37, 2 Na 3.35
Sn2 0.0000 0.4217 0.5000 [4 per cell]  1 Ga 3.01, 7 Sn 3.33-3.37, 4 Na 3.37

---

Record 5
Here is crystalline Na6GaSn2 at its relaxed geometry from Alexandria via LeMat-Bulk. Energies are from PBE.

## Properties
DFT formation energy	-129	kJ/mol of formula units
E	-2.25	eV per atom
total magnetic moment	0.0	μB/f.u.
crystal system	trigonal

Lattice parameters (Å, degrees): 5.4823 5.4823 30.2217 90.00 90.00 120.00
Closest atoms and distances in Å follow each position.
Space group R-3m (No. 166, hexagonal axes)
One atom of each set of equivalent atoms:
Na1 0.0000 0.0000 0.0765 [6 per cell]  3 Sn 3.17, 3 Na 3.50
Na2 0.0000 0.0000 0.1991 [6 per cell]  4 Na 3.25-3.61, 3 Ga 3.31, 3 Sn 3.58
Na3 0.0000 0.0000 0.3067 [6 per cell]  4 Sn 3.20-3.54, 7 Na 3.25-3.55
Ga1 0.0000 0.0000 0.5000 [3 per cell]  2 Sn 2.65
Sn1 0.0000 0.0000 0.4125 [6 per cell]  1 Ga 2.65

---

Record 6
Here is crystalline NaGaSn at its relaxed geometry from Alexandria via LeMat-Bulk. Energies are from PBE.

## Properties
DFT formation energy	9	kJ/mol of formula units
E	-2.75	eV per atom
total magnetic moment	0.0	μB/f.u.
crystal system	orthorhombic

Lattice parameters (Å, degrees): 6.0495 8.3379 6.3257 90.00 90.00 90.00
Closest atoms and distances in Å follow each position.
Space group Cmcm (No. 63)
One atom of each set of equivalent atoms:
Na1 0.0000 0.1457 0.2500 [4 per cell]  5 Sn 3.14-3.24, 2 Ga 3.35
Ga1 0.0000 0.5000 0.0000 [4 per cell]  2 Sn 2.74
Sn1 0.0000 0.2313 0.7500 [4 per cell]  2 Ga 2.74